# 1
Below is a geometry-optimized Ba2LiSi2 structure, with properties calculated at the PBE level.

Summary:
Space group: C2/m, No. 12
Formation energy without anion corrections in eV/f.u.: -1.6

Geometry as POSCAR:
```
Ba2LiSi2
1.0
-1.916 -4.664 0.476
4.024 -4.511 -1.057
2.044 -2.557 10.120
Ba Li Si
4 2 4
Cartesian
2.871 -3.889 0.395
0.438 -5.331 3.419
1.281 -7.843 9.143
3.713 -6.401 6.119
3.637 -6.703 2.847
0.515 -5.029 6.691
2.255 -3.133 5.327
1.896 -8.599 4.212
4.318 -9.164 8.428
-0.167 -2.568 1.110
```

# 2
Below is a geometry-optimized SrMg4In4 structure, with properties calculated at the PBE level.

Summary:
Space group: P4_2/nmc, No. 137
DFT formation energy in eV/atom: -0.130

Geometry as POSCAR:
```
SrMg4In4
1.0
-6.068 -3.367 -0.703
1.938 -2.169 -6.339
4.089 -8.218 4.062
In Mg Sr
8 8 2
Cartesian
1.732 -9.911 -2.086
0.490 -3.504 -2.488
0.636 -8.685 1.498
4.274 -7.352 -1.682
3.432 -6.410 1.073
-2.941 -5.407 -2.886
-0.511 -3.373 0.998
-3.148 -4.836 0.692
0.746 -5.738 2.191
-2.017 -7.271 1.871
2.218 -3.988 -0.047
3.322 -9.357 0.380
0.017 -11.191 -0.003
3.101 -4.975 -2.934
-2.238 -2.889 -1.443
-1.183 -4.071 -4.896
0.000 0.000 0.000
-0.021 -6.877 -1.490
```

# 3
Below is a geometry-optimized Sm6Rh2O structure, with properties calculated at the PBE level.

Summary:
Space group: P2_1/c, No. 14
Formation energy without anion corrections in eV/f.u.: -9.1

Geometry as POSCAR:
```
Sm6Rh2O
1.0
6.464 0.000 -0.039
0.000 7.185 0.000
0.261 0.000 9.798
O Rh Sm
2 4 12
Cartesian
3.232 3.592 -0.019
0.130 0.000 4.899
0.544 4.372 7.376
3.078 0.780 7.302
3.646 6.405 2.457
6.180 2.812 2.384
2.195 5.958 5.492
4.529 1.227 4.267
5.461 4.897 4.244
0.911 0.272 2.530
4.365 1.305 0.597
5.813 6.913 7.230
1.263 2.288 5.515
5.297 4.819 0.574
2.360 5.880 9.163
2.451 3.865 2.350
1.428 2.365 9.186
4.273 3.320 7.409
```

Theoretical density for the records above, in order: 3840, 4381, 8202 kg/m³
Total DFT energy (no corrections) for the records above, in order: -3.65, -2.24, -6.34 eV/atom
M_tot for the records above, in order: 0.0000, 0.0000, 0.0000 μB/atom